Compound: Mg4H5Rh
Source: Alexandria
Functional: GGA-PBE
Structure: optimized geometry

Calculated values
Energy: -31.062 eV/f.u.
Symmetry: I4 (79)

a b c (Å): 5.0657 5.5371 5.5371
angles (deg): 77.92 62.78 62.78
Positions (direct):
1 Mg 0.5482 0.5555 0.2101
2 Mg 0.7583 0.7899 0.5555
3 Mg 0.1037 0.2101 0.4445
4 Mg 0.3139 0.4445 0.7899
5 H 0.9339 0.3241 0.9041
6 H 0.8380 0.0959 0.3241
7 H 0.2581 0.9041 0.6759
8 H 0.4608 0.0000 0.0000
9 H 0.1621 0.6759 0.0959
10 Rh 0.1333 0.0000 0.0000

Compound: Nd2SeN
Source: Alexandria
Functional: GGA-PBE
Structure: optimized geometry

Calculated values
Formation energy without anion corrections: -1295 meV/atom
Energy: -26.524 eV/f.u.
Symmetry: R3m (160)

a b c (Å): 3.7612 3.7612 7.4716
angles (deg): 75.42 75.42 60.00
Positions (direct):
1 Nd 0.2406 0.2406 0.2781
2 Nd 0.0965 0.0965 0.7104
3 Se 0.6679 0.6679 0.9962
4 N 0.4949 0.4949 0.5153

Compound: Nb3AlZn
Source: Alexandria
Functional: GGA-PBE
Structure: optimized geometry

Calculated values
Energy: -30.206 eV/f.u.
Symmetry: Pm-3m (221)

a b c (Å): 4.6989 4.6989 4.6989
angles (deg): 90.00 90.00 90.00
Positions (direct):
1 Zn 0.0000 0.0000 0.0000
2 Nb 0.0000 0.5000 0.0000
3 Nb 0.5000 0.0000 0.0000
4 Nb 0.0000 0.0000 0.5000
5 Al 0.5000 0.5000 0.5000

> Look up the energy of the third one.

-30.206 eV/f.u.

> Which formula does entry 3 have?

Nb3AlZn

> Among the records above, which one has the lowest energy?

Mg4H5Rh